[1]
DFT (PBE) results for a relaxed structure of KSiW3.

## Properties
**Formation energy without anion corrections**: 179.6 kJ per mole of atoms
**Total magnetic moment**: 0.00 μB per formula unit
**Excess energy over the best structure of this formula in the dataset**: 0.0000 eV per atom

Cell lengths 4.695, 4.695, 4.695 Å; angles 90.00, 90.00, 90.00 degrees
Space group Pm-3m (No. 221)
Asymmetric unit:
K: 0.000 0.000 0.000 (multiplicity 1)
Si: 0.500 0.500 0.500 (multiplicity 1)
W: 0.000 0.500 0.500 (multiplicity 3)

[2]
DFT (PBE) results for a relaxed structure of KSiW2.

## Properties
**Formation energy without anion corrections**: 141.8 kJ per mole of atoms
**Total magnetic moment**: 0.00 μB per formula unit

Cell lengths 4.842, 4.842, 18.151 Å; angles 90.00, 90.00, 90.00 degrees
Space group I-42d (No. 122)
Asymmetric unit:
K: 0.000 0.000 0.000 (multiplicity 4)
Si: 0.000 0.000 0.500 (multiplicity 4)
W: 0.025 0.750 0.625 (multiplicity 8)

Number 1: VASP energy -7.21 eV per atom. Number 2: VASP energy -6.64 eV per atom.